Entry 1:
{
  "formula": "KPuTl2Br8",
  "functional": "GGA-PBE",
  "state": "relaxed",
  "lattice": [[7.488, -0.021, -0.005], [0.012, 6.983, -0.001], [0.004, 0.019, 9.479]],
  "species": ["K", "Pu", "Tl", "Tl", "Br", "Br", "Br", "Br", "Br", "Br", "Br", "Br"],
  "frac_coords": [[0.000, 0.000, 0.500], [0.000, 0.000, 0.000], [0.500, 0.499, 0.742], [0.500, 0.501, 0.258], [0.132, 0.762, 0.206], [0.690, 0.795, 0.999], [0.867, 0.237, 0.205], [0.868, 0.238, 0.794], [0.310, 0.205, 0.001], [0.133, 0.763, 0.795], [0.652, 0.727, 0.500], [0.348, 0.273, 0.500]],
  "raw_formation_energy_ev_per_atom": -1.10,
  "sg": "No. 2",
  "energy_ev_per_fu": -46.70,
  "m_tot_mub_per_cell": 3.281,
  "n_ef_per_ev_atom": 1.239,
  "rho_g_cm3": 4.46
}

---

Entry 2:
{
  "formula": "KPuTlBr6",
  "functional": "GGA-PBE",
  "state": "relaxed",
  "lattice": [[8.042, 0.000, 0.000], [-4.021, 6.965, 0.000], [0.000, 0.000, 13.203]],
  "species": ["K", "K", "Pu", "Pu", "Tl", "Tl", "Br", "Br", "Br", "Br", "Br", "Br", "Br", "Br", "Br", "Br", "Br", "Br"],
  "frac_coords": [[0.333, 0.667, 0.250], [0.667, 0.333, 0.750], [0.667, 0.333, 0.250], [0.333, 0.667, 0.750], [0.000, 0.000, 0.000], [0.000, 0.000, 0.500], [0.667, 0.615, 0.129], [0.948, 0.333, 0.129], [0.333, 0.948, 0.629], [0.052, 0.667, 0.871], [0.385, 0.333, 0.371], [0.948, 0.615, 0.371], [0.615, 0.948, 0.871], [0.667, 0.052, 0.371], [0.052, 0.385, 0.629], [0.385, 0.052, 0.129], [0.615, 0.667, 0.629], [0.333, 0.385, 0.871]],
  "raw_formation_energy_ev_per_atom": -1.32,
  "sg": "No. 163",
  "energy_ev_per_fu": -39.75,
  "m_tot_mub_per_cell": 8.000,
  "n_ef_per_ev_atom": 0.654,
  "rho_g_cm3": 4.34
}

---

Entry 3:
{
  "formula": "KTmPuBr6",
  "functional": "GGA-PBE",
  "state": "relaxed",
  "lattice": [[7.459, 0.000, 0.000], [-3.730, 6.460, 0.000], [0.000, 0.000, 14.517]],
  "species": ["K", "K", "Tm", "Tm", "Pu", "Pu", "Br", "Br", "Br", "Br", "Br", "Br", "Br", "Br", "Br", "Br", "Br", "Br"],
  "frac_coords": [[0.000, 0.000, 0.000], [0.000, 0.000, 0.500], [0.667, 0.333, 0.250], [0.333, 0.667, 0.750], [0.333, 0.667, 0.250], [0.667, 0.333, 0.750], [0.647, 0.626, 0.137], [0.979, 0.353, 0.137], [0.353, 0.979, 0.637], [0.021, 0.647, 0.863], [0.374, 0.353, 0.363], [0.979, 0.626, 0.363], [0.626, 0.979, 0.863], [0.647, 0.021, 0.363], [0.021, 0.374, 0.637], [0.374, 0.021, 0.137], [0.626, 0.647, 0.637], [0.353, 0.374, 0.863]],
  "raw_formation_energy_ev_per_atom": -1.70,
  "sg": "No. 163",
  "energy_ev_per_fu": -45.24,
  "m_tot_mub_per_cell": 12.000,
  "n_ef_per_ev_atom": 1.956,
  "rho_g_cm3": 4.42
}

---

Entry 4:
{
  "formula": "KPuVBr6",
  "functional": "GGA-PBE",
  "state": "relaxed",
  "lattice": [[-5.141, 2.848, 4.035], [-0.232, -6.917, -1.710], [7.722, -3.261, 12.140]],
  "species": ["K", "K", "Pu", "Pu", "V", "V", "Br", "Br", "Br", "Br", "Br", "Br", "Br", "Br", "Br", "Br", "Br", "Br"],
  "frac_coords": [[0.000, 0.000, 0.000], [0.000, 0.000, 0.500], [0.333, 0.667, 0.250], [0.667, 0.333, 0.750], [0.667, 0.333, 0.250], [0.333, 0.667, 0.750], [0.653, 0.624, 0.144], [0.971, 0.347, 0.144], [0.347, 0.971, 0.644], [0.029, 0.653, 0.856], [0.376, 0.347, 0.356], [0.971, 0.624, 0.356], [0.624, 0.971, 0.856], [0.653, 0.029, 0.356], [0.029, 0.376, 0.644], [0.376, 0.029, 0.144], [0.624, 0.653, 0.644], [0.347, 0.376, 0.856]],
  "raw_formation_energy_ev_per_atom": -1.34,
  "sg": "No. 163",
  "energy_ev_per_fu": -46.69,
  "m_tot_mub_per_cell": 16.000,
  "n_ef_per_ev_atom": 1.604,
  "rho_g_cm3": 4.16
}

---

Entry 5:
{
  "formula": "KPu2ZnBr8",
  "functional": "GGA-PBE",
  "state": "relaxed",
  "lattice": [[-2.614, 0.866, 6.508], [5.733, -1.834, 3.147], [2.731, 8.482, -0.032]],
  "species": ["K", "Pu", "Pu", "Zn", "Br", "Br", "Br", "Br", "Br", "Br", "Br", "Br"],
  "frac_coords": [[0.000, 0.000, 0.500], [0.500, 0.500, 0.760], [0.500, 0.500, 0.240], [0.000, 0.000, 0.000], [0.157, 0.773, 0.207], [0.660, 0.735, 0.000], [0.843, 0.227, 0.207], [0.843, 0.227, 0.793], [0.340, 0.265, 0.000], [0.157, 0.773, 0.793], [0.639, 0.718, 0.500], [0.361, 0.282, 0.500]],
  "raw_formation_energy_ev_per_atom": -1.34,
  "sg": "No. 10",
  "energy_ev_per_fu": -60.54,
  "m_tot_mub_per_cell": 11.000,
  "n_ef_per_ev_atom": 2.525,
  "rho_g_cm3": 4.80
}

---

Entry 6:
{
  "formula": "KPuZnBr6",
  "functional": "GGA-PBE",
  "state": "relaxed",
  "lattice": [[7.248, 0.000, 0.000], [-3.624, 6.277, 0.000], [0.000, 0.000, 14.396]],
  "species": ["K", "K", "Pu", "Pu", "Zn", "Zn", "Br", "Br", "Br", "Br", "Br", "Br", "Br", "Br", "Br", "Br", "Br", "Br"],
  "frac_coords": [[0.000, 0.000, 0.000], [0.000, 0.000, 0.500], [0.333, 0.667, 0.250], [0.667, 0.333, 0.750], [0.667, 0.333, 0.250], [0.333, 0.667, 0.750], [0.643, 0.620, 0.142], [0.977, 0.357, 0.142], [0.357, 0.977, 0.642], [0.023, 0.643, 0.858], [0.380, 0.357, 0.358], [0.977, 0.620, 0.358], [0.620, 0.977, 0.858], [0.643, 0.023, 0.358], [0.023, 0.380, 0.642], [0.380, 0.023, 0.142], [0.620, 0.643, 0.642], [0.357, 0.380, 0.858]],
  "raw_formation_energy_ev_per_atom": -1.32,
  "sg": "No. 163",
  "energy_ev_per_fu": -38.61,
  "m_tot_mub_per_cell": 10.000,
  "n_ef_per_ev_atom": 1.215,
  "rho_g_cm3": 4.20
}

---

Entry 7:
{
  "formula": "KRb2Br2",
  "functional": "GGA-PBE",
  "state": "relaxed",
  "lattice": [[-7.746, -5.733, 3.476], [6.694, -6.911, 3.518], [0.156, 2.046, 3.723]],
  "species": ["K", "K", "Br", "Br", "Br", "Br", "Rb", "Rb", "Rb", "Rb"],
  "frac_coords": [[0.000, 0.000, 0.000], [0.500, 0.500, 0.000], [0.152, 0.652, 0.500], [0.652, 0.848, 0.500], [0.848, 0.348, 0.500], [0.348, 0.152, 0.500], [0.362, 0.862, 0.000], [0.862, 0.638, 0.000], [0.638, 0.138, 0.000], [0.138, 0.362, 0.000]],
  "raw_formation_energy_ev_per_atom": -1.17,
  "sg": "No. 127",
  "e_above_lowest_polymorph_mev_per_atom": 106,
  "energy_ev_per_fu": -12.25,
  "m_tot_mub_per_cell": 0.000,
  "n_ef_per_ev_atom": 0.235,
  "rho_g_cm3": 2.75
}

---

Entry 8:
{
  "formula": "KRb2Br",
  "functional": "GGA-PBE",
  "state": "relaxed",
  "lattice": [[-7.017, -7.993, 0.103], [4.014, -3.404, 9.243], [-4.810, -2.762, 7.191]],
  "species": ["K", "K", "Br", "Br", "Rb", "Rb", "Rb", "Rb"],
  "frac_coords": [[0.500, 0.500, 0.000], [0.250, 0.750, 0.500], [0.000, 0.000, 0.000], [0.750, 0.250, 0.500], [0.725, 0.125, 0.250], [0.025, 0.625, 0.250], [0.375, 0.275, 0.750], [0.875, 0.975, 0.750]],
  "raw_formation_energy_ev_per_atom": -0.73,
  "sg": "No. 122",
  "e_above_lowest_polymorph_mev_per_atom": 97,
  "energy_ev_per_fu": -7.64,
  "m_tot_mub_per_cell": 0.000,
  "n_ef_per_ev_atom": 0.741,
  "rho_g_cm3": 1.67
}

---

Entry 9:
{
  "formula": "KRbBr",
  "functional": "GGA-PBE",
  "state": "relaxed",
  "lattice": [[4.801, 0.000, 0.000], [-2.401, 4.158, 0.000], [0.000, 0.000, 8.277]],
  "species": ["K", "Br", "Rb"],
  "frac_coords": [[0.333, 0.667, 0.574], [0.667, 0.333, 0.344], [0.000, 0.000, 0.082]],
  "raw_formation_energy_ev_per_atom": -1.11,
  "sg": "No. 156",
  "e_above_lowest_polymorph_mev_per_atom": 0,
  "energy_ev_per_fu": -7.06,
  "m_tot_mub_per_cell": 0.000,
  "n_ef_per_ev_atom": 0.292,
  "rho_g_cm3": 2.05
}

---

Entry 10:
{
  "formula": "KRb2Br",
  "functional": "GGA-PBE",
  "state": "relaxed",
  "lattice": [[4.883, 0.000, 0.000], [2.442, 4.229, 0.000], [2.442, 1.410, 12.317]],
  "species": ["K", "Rb", "Rb", "Br"],
  "frac_coords": [[0.500, 0.500, 0.499], [0.057, 0.057, 0.830], [0.277, 0.277, 0.170], [0.667, 0.667, 0.000]],
  "raw_formation_energy_ev_per_atom": -0.83,
  "sg": "No. 160",
  "e_above_lowest_polymorph_mev_per_atom": 0,
  "energy_ev_per_fu": -8.03,
  "m_tot_mub_per_cell": 0.000,
  "n_ef_per_ev_atom": 0.394,
  "rho_g_cm3": 1.89
}